Material: MgSe
Method: DFT, GGA-PBE
State: relaxed

DOS at the Fermi energy, states/eV/cell: 4.02
E, eV/atom: -2.69
ρ, g/cm³: 4.013

a = 6.9923 Å, b = 6.9923 Å, c = 6.9923 Å
α = 90.00°, β = 90.00°, γ = 90.00°
With the nearest neighbours (Å) after each atom.
Space group Fd-3m (No. 227, origin choice 2)
Symmetry-distinct sites (fractional):
Mg 0.1250 0.1250 0.1250  4 Se 3.03, 4 Mg 3.03
Se 0.1250 0.1250 0.6250  4 Se 3.03, 4 Mg 3.03